1.
Material: SrLaPt10
Method: DFT, GGA-PBE
State: optimized geometry

a b c (Å): 4.4093 5.4932 9.4655
angles (deg): 90.00 90.00 90.00
Closest atoms and distances in Å follow each position.
Space group Pmmm (No. 47)
Asymmetric unit:
Sr  0.0000  0.0000  0.0000 (multiplicity 1)  18 Pt 3.17-3.53
La  0.0000  0.5000  0.5000 (multiplicity 1)  14 Pt 3.14-3.49
Pt  0.0000  0.0000  0.3348 (multiplicity 2)  6 Pt 2.70-2.72
Pt  0.0000  0.5000  0.1687 (multiplicity 2)  6 Pt 2.71-2.72
Pt  0.5000  0.0000  0.5000 (multiplicity 1)  8 Pt 2.70-2.72
Pt  0.5000  0.2516  0.2524 (multiplicity 4)  8 Pt 2.71-2.76
Pt  0.5000  0.5000  0.0000 (multiplicity 1)  8 Pt 2.72-2.75

## Properties
formation energy	-670	meV/atom

2.
Material: SrLaPt
Method: DFT, GGA-PBE
State: optimized geometry

a b c (Å): 5.8056 4.6654 7.9194
angles (deg): 90.00 106.44 90.00
Closest atoms and distances in Å follow each position.
Space group P2_1/m (No. 11)
Asymmetric unit:
Sr  0.2451  0.2500  0.4271 (multiplicity 2)  3 Pt 3.13-3.43
La  0.2336  0.2500  0.9399 (multiplicity 2)  4 Pt 2.97-3.06
Pt  0.3102  0.7500  0.1809 (multiplicity 2)  4 La 2.97-3.06, 2 Sr 3.13

## Properties
formation energy	-774	meV/atom
energy above the lowest structure with this stoichiometry	0.029	eV per atom

3.
Material: SrLaPt
Method: DFT, GGA-PBE
State: optimized geometry

a b c (Å): 4.4504 5.8331 8.5967
angles (deg): 90.00 90.00 90.00
Closest atoms and distances in Å follow each position.
Space group Pmmn (No. 59, origin choice 2)
Asymmetric unit:
Sr  0.2500  0.2500  0.1261 (multiplicity 2)  2 Pt 3.04
La  0.2500  0.2500  0.5948 (multiplicity 2)  4 Pt 2.93-2.96
Pt  0.2500  0.7500  0.6322 (multiplicity 2)  4 La 2.93-2.96, 2 Sr 3.04

## Properties
formation energy	-803	meV/atom
energy above the lowest structure with this stoichiometry	0.000	eV per atom

4.
Material: SrLa3Pt
Method: DFT, GGA-PBE
State: optimized geometry

a b c (Å): 6.7997 7.4132 7.5562
angles (deg): 73.76 89.95 89.99
Closest atoms and distances in Å follow each position.
Space group P1 (No. 1)
Asymmetric unit:
Sr  0.0000  0.0000  0.0000 (multiplicity 1)  1 Pt 3.70, 8 La 3.77-4.07, 2 Sr 3.87
Sr  0.1622  0.4999  0.0001 (multiplicity 1)  1 Pt 3.69, 8 La 3.77-4.07, 2 Sr 3.87
La  0.1852  0.3396  0.5312 (multiplicity 1)  2 Pt 3.02-3.03
La  0.5081  0.0657  0.2778 (multiplicity 1)  2 Pt 3.03
La  0.5150  0.9215  0.7921 (multiplicity 1)  2 Pt 2.90-2.96
La  0.6477  0.4214  0.7919 (multiplicity 1)  2 Pt 2.90-2.96
La  0.6538  0.5657  0.2777 (multiplicity 1)  2 Pt 3.02-3.03
La  0.9771  0.8396  0.5309 (multiplicity 1)  2 Pt 3.02-3.03
Pt  0.3948  0.6939  0.5454 (multiplicity 1)  6 La 2.90-3.03
Pt  0.7675  0.1941  0.5445 (multiplicity 1)  6 La 2.90-3.03

## Properties
formation energy	-422	meV/atom
energy above the lowest structure with this stoichiometry	0.013	eV per atom

5.
Material: SrLaPt
Method: DFT, GGA-PBE
State: optimized geometry

a b c (Å): 11.9302 4.0333 8.5267
angles (deg): 90.00 92.04 90.00
Closest atoms and distances in Å follow each position.
Space group C2/m (No. 12)
Asymmetric unit:
Sr  0.1361  0.0000  0.3755 (multiplicity 4)  5 Pt 3.15-3.35
La  0.1313  0.0000  0.8724 (multiplicity 4)  2 Pt 2.83
Pt  0.0844  0.5000  0.6467 (multiplicity 4)  2 La 2.83, 2 Sr 3.15, 1 Pt 3.16

## Properties
formation energy	-604	meV/atom
energy above the lowest structure with this stoichiometry	0.199	eV per atom

6.
Material: SrLa3Pt
Method: DFT, GGA-PBE
State: optimized geometry

a b c (Å): 4.7648 4.7648 23.2759
angles (deg): 90.00 90.00 120.00
Closest atoms and distances in Å follow each position.
Space group P6_3/mmc (No. 194)
Asymmetric unit:
Sr  0.0000  0.0000  0.0000 (multiplicity 2)  6 La 4.01
La  0.0000  0.0000  0.2500 (multiplicity 2)  3 Pt 2.75
La  0.3333  0.6667  0.1252 (multiplicity 4)  1 Pt 2.90
Pt  0.3333  0.6667  0.2500 (multiplicity 2)  5 La 2.75-2.90

## Properties
formation energy	-73	meV/atom
energy above the lowest structure with this stoichiometry	0.362	eV per atom

7.
Material: SrLa3Pt
Method: DFT, GGA-PBE
State: optimized geometry

a b c (Å): 13.2845 12.0501 9.7813
angles (deg): 90.00 118.37 90.00
Closest atoms and distances in Å follow each position.
Space group C2/c (No. 15)
Asymmetric unit:
Sr  0.0000  0.1329  0.2500 (multiplicity 4)  4 Pt 3.42-3.66, 8 La 3.55-3.82
Sr  0.0000  0.3475  0.7500 (multiplicity 4)  2 Pt 3.55, 8 La 3.59-3.86
La  0.1377  0.1001  0.9869 (multiplicity 8)  3 Pt 2.92-3.20
La  0.1489  0.3957  0.1925 (multiplicity 8)  1 Pt 2.82
La  0.1755  0.3363  0.5626 (multiplicity 8)  1 Pt 3.05
Pt  0.1102  0.1129  0.6445 (multiplicity 8)  4 La 2.82-3.10

## Properties
formation energy	-366	meV/atom
energy above the lowest structure with this stoichiometry	0.069	eV per atom

8.
Material: SrLa3Pt
Method: DFT, GGA-PBE
State: optimized geometry

a b c (Å): 7.1126 10.5267 9.9012
angles (deg): 90.00 90.00 90.00
Closest atoms and distances in Å follow each position.
Space group Pnma (No. 62)
Asymmetric unit:
Sr  0.0000  0.0000  0.0000 (multiplicity 4)  2 Pt 3.13
La  0.0121  0.0909  0.3475 (multiplicity 8)  2 Pt 2.88-3.19
La  0.1927  0.7500  0.3066 (multiplicity 4)  1 Pt 3.06
Pt  0.1894  0.2500  0.1041 (multiplicity 4)  5 La 2.88-3.19, 2 Sr 3.13

## Properties
formation energy	-234	meV/atom
energy above the lowest structure with this stoichiometry	0.201	eV per atom